Entry 1:
Crystalline PrTeSe at its relaxed geometry, computed with PBE.

```
PrTeSe
1.0
4.213 0.000 -0.882
-0.291 5.770 -1.391
-0.516 -1.149 8.040
Pr Te Se
2 2 2
Cartesian
0.302 3.423 1.443 Pr
3.104 1.199 4.325 Pr
1.888 4.332 -1.485 Te
2.034 1.439 -0.787 Te
2.800 3.893 2.871 Se
0.606 0.729 2.896 Se
```

- Formation energy (no corrections): -1.462 eV per atom
- Uncorrected energy: -31.6 eV/cell
- Energy above the most stable polymorph in this dataset: 0 meV per atom

Entry 2:
Crystalline Pr4Te2Se5 at its relaxed geometry, computed with PBE.

```
Pr4Te2Se5
1.0
4.432 0.000 0.000
0.000 7.870 -0.377
-2.216 -3.182 10.517
Pr Te Se
4 2 5
Cartesian
2.216 3.545 3.409 Pr
0.000 6.428 1.038 Pr
0.000 1.143 6.731 Pr
2.216 -1.740 9.101 Pr
2.216 3.473 6.660 Te
0.000 1.215 3.480 Te
0.000 5.499 3.713 Se
2.216 -0.811 6.427 Se
0.000 3.314 0.971 Se
2.216 0.000 0.000 Se
2.216 1.374 9.169 Se
```

- Formation energy (no corrections): -1.342 eV per atom
- Uncorrected energy: -57.6 eV/cell

Entry 3:
Crystalline Pr7Te4Se4 at its relaxed geometry, computed with PBE.

```
Pr7Te4Se4
1.0
7.242 0.000 2.011
3.621 10.964 1.005
0.688 0.000 11.569
Pr Te Se
14 8 8
Cartesian
6.117 6.761 6.061 Pr
5.433 4.203 8.525 Pr
2.496 4.203 5.055 Pr
9.054 6.761 9.530 Pr
5.443 0.000 1.511 Pr
1.799 0.000 0.499 Pr
7.242 6.385 2.011 Pr
3.621 4.579 1.005 Pr
2.396 0.000 5.417 Pr
5.533 0.000 8.163 Pr
1.517 3.100 8.582 Pr
2.791 7.864 3.993 Pr
5.138 7.864 9.588 Pr
6.412 3.100 4.998 Pr
7.242 2.818 2.011 Te
3.621 8.146 1.005 Te
1.441 0.000 8.854 Te
6.488 0.000 4.726 Te
6.726 9.036 3.868 Te
4.824 1.928 10.717 Te
3.105 1.928 2.863 Te
8.445 9.036 11.723 Te
3.965 8.748 6.790 Se
3.965 2.216 6.790 Se
4.838 5.482 3.643 Se
3.091 5.482 9.937 Se
8.459 5.482 4.648 Se
6.712 5.482 10.943 Se
7.585 8.748 7.795 Se
7.585 2.216 7.795 Se
```

- Formation energy (no corrections): -1.551 eV per atom
- Uncorrected energy: -166.5 eV/cell

Entry 4:
Crystalline PrThTeSe at its relaxed geometry, computed with PBE.

```
PrThTeSe
1.0
4.167 0.002 -0.002
-2.081 3.605 0.000
-2.086 -1.204 7.872
Pr Th Te Se
1 1 1 1
Cartesian
-1.689 3.341 0.738 Pr
0.394 -0.263 5.048 Th
2.476 0.939 2.894 Te
-1.691 0.937 6.823 Se
```

- Formation energy (no corrections): -1.443 eV per atom
- Uncorrected energy: -24.6 eV/cell

Entry 5:
Crystalline PrThTeSe2 at its relaxed geometry, computed with PBE.

```
PrThTeSe2
1.0
4.735 0.000 0.000
0.000 4.735 0.000
-2.368 -2.368 7.074
Pr Th Te Se
1 1 1 2
Cartesian
2.368 2.368 5.208 Pr
0.000 0.000 1.848 Th
2.368 2.368 0.101 Te
2.368 0.000 3.495 Se
0.000 2.368 3.495 Se
```

- Formation energy (no corrections): -1.327 eV per atom
- Uncorrected energy: -28.9 eV/cell

Entry 6:
Crystalline Pr6TlTe3Se2 at its relaxed geometry, computed with PBE.

```
Pr6TlTe3Se2
1.0
-5.294 2.934 4.672
-0.553 -7.279 -2.272
5.922 -0.694 5.063
Pr Tl Te Se
6 1 3 2
Cartesian
-0.666 -2.051 6.871 Pr
-2.937 -3.347 2.918 Pr
0.741 -2.989 0.592 Pr
0.955 -5.544 4.496 Pr
3.012 -1.692 4.545 Pr
-0.880 0.504 2.967 Pr
0.000 0.000 0.000 Tl
1.636 -5.963 1.390 Te
-1.561 0.924 6.073 Te
0.038 -2.520 3.732 Te
-2.130 -3.883 0.037 Se
-3.717 -0.463 2.363 Se
```

- Formation energy (no corrections): -1.412 eV per atom
- Uncorrected energy: -64.4 eV/cell

Entry 7:
Crystalline PrTl2TeSe4 at its relaxed geometry, computed with PBE.

```
PrTl2TeSe4
1.0
-1.831 3.819 -0.258
-2.320 -1.626 -7.588
-6.954 -3.329 0.078
Pr Tl Te Se
1 2 1 4
Cartesian
-4.637 -2.477 -3.755 Pr
-6.954 -3.329 0.078 Tl
-4.393 0.245 -0.090 Tl
-2.075 1.097 -3.923 Te
-7.032 -3.727 -5.249 Se
-4.073 2.591 -2.518 Se
-4.606 -0.237 -5.703 Se
-6.499 -0.899 -2.065 Se
```

- Formation energy (no corrections): -0.699 eV per atom
- Uncorrected energy: -32.2 eV/cell

Entry 8:
Crystalline Pr6Tl2Te3Se at its relaxed geometry, computed with PBE.

```
Pr6Tl2Te3Se
1.0
-4.143 -0.406 -1.378
-2.076 -4.783 7.653
0.330 9.591 3.159
Pr Tl Te Se
6 2 3 1
Cartesian
-3.088 1.970 8.707 Pr
-3.861 0.123 4.597 Pr
-2.801 2.433 0.727 Pr
-0.497 -1.098 1.817 Pr
-5.392 5.501 7.617 Pr
-2.028 4.280 4.837 Pr
-4.618 2.865 6.064 Tl
-1.271 1.538 3.370 Tl
-3.110 -2.594 3.138 Te
-3.575 5.268 2.221 Te
-2.314 -0.865 7.213 Te
-2.072 -0.203 -0.689 Se
```

- Formation energy (no corrections): -1.150 eV per atom
- Uncorrected energy: -60.1 eV/cell

Entry 9:
Crystalline PrTmTeSe at its relaxed geometry, computed with PBE.

```
PrTmTeSe
1.0
-4.118 -0.175 -0.076
2.030 -0.713 3.518
1.719 7.784 0.586
Pr Tm Te Se
1 1 1 1
Cartesian
-2.587 2.468 1.500 Pr
1.363 6.245 2.403 Tm
1.609 0.054 3.423 Te
-0.610 4.788 0.830 Se
```

- Formation energy (no corrections): -1.496 eV per atom
- Uncorrected energy: -21.9 eV/cell

Entry 10:
Crystalline PrUTe2Se at its relaxed geometry, computed with PBE.

```
PrUTe2Se
1.0
-1.605 -4.109 0.571
3.899 -1.285 1.713
-4.879 3.849 13.992
Pr U Te Se
2 2 4 2
Cartesian
-1.247 -1.703 1.562 Pr
-2.484 2.855 13.572 Pr
-3.835 0.338 8.982 U
0.103 0.814 6.152 U
-1.456 2.044 10.623 Te
1.351 -0.170 2.573 Te
-5.083 1.322 12.561 Te
-2.276 -0.892 4.511 Te
-2.439 1.925 6.996 Se
-1.292 -0.772 8.138 Se
```

- Formation energy (no corrections): -1.077 eV per atom
- Uncorrected energy: -62.4 eV/cell

Entry 11:
Crystalline PrYTeSe at its relaxed geometry, computed with PBE.

```
PrYTeSe
1.0
4.157 -0.001 0.000
-2.079 3.602 0.000
-2.077 -1.199 7.670
Pr Y Te Se
1 1 1 1
Cartesian
2.472 0.937 2.866 Pr
-1.685 0.938 6.597 Y
-1.686 3.338 0.789 Te
0.394 -0.263 4.856 Se
```

- Formation energy (no corrections): -1.544 eV per atom
- Uncorrected energy: -24.0 eV/cell

Entry 12:
Crystalline PrYTe2Se at its relaxed geometry, computed with PBE.

```
PrYTe2Se
1.0
4.389 0.000 0.000
0.000 4.389 0.000
0.000 0.000 15.707
Pr Y Te Se
2 2 4 2
Cartesian
2.194 0.000 9.937 Pr
0.000 2.194 5.770 Pr
2.194 0.000 1.421 Y
0.000 2.194 14.286 Y
0.000 2.194 11.188 Te
0.000 2.194 1.696 Te
2.194 0.000 14.012 Te
2.194 0.000 4.519 Te
0.000 0.000 7.854 Se
2.194 2.194 7.854 Se
```

- Formation energy (no corrections): -1.433 eV per atom
- Uncorrected energy: -56.4 eV/cell